# 1
Density functional theory data (PBE) for SmTaNbOs2 after structural relaxation.

Lattice parameters (Å, degrees): 4.404 4.404 10.753 90.00 90.00 90.00
Space group I-4m2 (No. 119)
Asymmetric unit:
Sm (0.000, 0.000, 0.000) [2 per cell]
Ta (0.000, 0.500, 0.750) [2 per cell]
Nb (0.000, 0.500, 0.250) [2 per cell]
Os (0.000, 0.000, 0.381) [4 per cell]

As for the volume: 104.3 Å³/f.u. As for the formation energy: -0.271 eV/atom. The energy comes out at -10.091 eV/atom.

=====

# 2
Density functional theory data (PBE) for Nb2SnOs after structural relaxation.

Lattice parameters (Å, degrees): 7.574 7.574 5.636 90.00 90.00 90.00
Space group I-42d (No. 122)
Asymmetric unit:
Nb (0.201, 0.250, 0.125) [8 per cell]
Sn (0.000, 0.000, 0.500) [4 per cell]
Os (0.000, 0.000, 0.000) [4 per cell]

The value obtained for the distance to the lowest polymorph of the same formula is 0.182 eV/atom. As for the volume: 80.8 Å³/f.u. As for the formation energy: 0.387 eV/atom. The energy comes out at -8.456 eV/atom.

=====

# 3
Density functional theory data (PBE) for Nb2SnOs2 after structural relaxation.

Lattice parameters (Å, degrees): 7.654 7.654 3.060 90.00 90.00 90.00
Space group P4/mbm (No. 127)
Asymmetric unit:
Nb (0.158, 0.342, 0.000) [4 per cell]
Sn (0.000, 0.000, 0.500) [2 per cell]
Os (0.133, 0.633, 0.500) [4 per cell]

As for the volume: 89.6 Å³/f.u. As for the formation energy: -0.037 eV/atom. The energy comes out at -9.357 eV/atom.